The following is a DFT calculation (PBE with a Hubbard U) of a relaxed CrInO2 crystal.

Cell: 7.288 2.986 5.537 Å, 91.30 107.08 100.46°
Fractional positions:
O: 0.985 0.260 0.908
O: 0.632 0.105 0.992
O: 0.300 0.436 0.682
O: 0.654 0.590 0.598
In: 0.321 0.428 0.094
In: 0.964 0.266 0.496
Cr: 0.811 0.683 0.961
Cr: 0.475 0.012 0.629

Values from the calculation:
- E_tot: -6.397 eV per atom